Record 1
Crystalline BiBSbTe2 at its relaxed geometry, computed with PBE.

Calculated values
* space-group type: No. 123
* DOS at the Fermi energy: 4.999 states/eV/f.u.
* size of the total moment: 1.03 μB/cell
* raw formation energy: 1.6080 eV/atom

```
5
Lattice="5.989 0.000 0.000 0.000 5.989 0.000 0.000 0.000 5.824" Properties=species:S:1:pos:R:3 pbc="T T T"
Bi 0.000 0.000 0.000
B 2.995 2.995 2.912
Sb 0.000 0.000 2.912
Te 0.000 2.995 0.000
Te 2.995 0.000 0.000
```

Record 2
Crystalline BiBSbTe2 at its relaxed geometry, computed with PBE.

Calculated values
* space-group type: No. 123
* DOS at the Fermi energy: 2.613 states/eV/f.u.
* size of the total moment: 0.00 μB/cell
* raw formation energy: 0.5694 eV/atom

```
5
Lattice="4.940 0.000 0.000 0.000 4.940 0.000 0.000 0.000 5.012" Properties=species:S:1:pos:R:3 pbc="T T T"
Bi 0.000 0.000 0.000
B 2.470 2.470 2.506
Sb 2.470 2.470 0.000
Te 0.000 2.470 2.506
Te 2.470 0.000 2.506
```

Record 3
Crystalline TiBi2BSb at its relaxed geometry, computed with PBE.

Calculated values
* space-group type: No. 123
* DOS at the Fermi energy: 3.981 states/eV/f.u.
* size of the total moment: 0.00 μB/cell
* raw formation energy: 0.7015 eV/atom

```
5
Lattice="5.525 0.000 0.000 0.000 5.525 0.000 0.000 0.000 4.260" Properties=species:S:1:pos:R:3 pbc="T T T"
Ti 0.000 0.000 0.000
Bi 0.000 2.762 0.000
Bi 2.762 0.000 0.000
B 0.000 0.000 2.130
Sb 2.762 2.762 2.130
```

Record 4
Crystalline Sc2BiB at its relaxed geometry, computed with PBE.

Calculated values
* ΔH_f (0 K): -0.1554 eV per atom
* space-group type: No. 166
* DOS at the Fermi energy: 5.210 states/eV/f.u.
* size of the total moment: 0.00 μB/cell

```
4
Lattice="1.800 1.039 8.535 -1.800 1.039 8.535 0.000 -2.078 8.535" Properties=species:S:1:pos:R:3 pbc="T T T"
Sc 0.000 0.000 3.075
Sc 0.000 0.000 22.530
Bi 0.000 0.000 0.000
B 0.000 0.000 12.803
```

Record 5
Crystalline Sc5Bi2B at its relaxed geometry, computed with PBE.

Calculated values
* ΔH_f (0 K): -0.1123 eV per atom
* space-group type: No. 63
* DOS at the Fermi energy: 9.691 states/eV/f.u.
* size of the total moment: 2.00 μB/cell

```
16
Lattice="2.440 -7.559 0.000 2.440 7.559 0.000 0.000 0.000 12.583" Properties=species:S:1:pos:R:3 pbc="T T T"
Sc 2.440 6.409 7.854
Sc 2.440 6.409 11.021
Sc 2.440 3.388 7.370
Sc 2.440 3.388 11.505
Sc 2.440 3.120 3.146
Sc 2.440 -3.120 9.437
Sc 2.440 -3.388 1.078
Sc 2.440 -3.388 5.213
Sc 2.440 -6.409 1.562
Sc 2.440 -6.409 4.730
Bi 2.440 5.710 1.303
Bi 2.440 5.710 4.988
Bi 2.440 -5.710 7.595
Bi 2.440 -5.710 11.280
B 2.440 4.744 9.437
B 2.440 -4.744 3.146
```

Record 6
Crystalline ScBiB2 at its relaxed geometry, computed with PBE.

Calculated values
* ΔH_f (0 K): 0.8136 eV per atom
* space-group type: No. 122
* DOS at the Fermi energy: 1.677 states/eV/f.u.
* size of the total moment: 0.00 μB/cell

```
8
Lattice="-3.229 3.229 3.317 3.229 -3.229 3.317 3.229 3.229 -3.317" Properties=species:S:1:pos:R:3 pbc="T T T"
Sc 0.000 0.000 0.000
Sc 0.000 3.229 1.658
Bi 3.229 0.000 1.658
Bi 0.000 0.000 3.317
B 1.615 -1.570 2.487
B 1.659 1.615 0.829
B 1.615 4.799 -0.829
B 1.570 1.615 4.146
```

Record 7
Crystalline ScBi2B at its relaxed geometry, computed with PBE.

Calculated values
* ΔH_f (0 K): 0.3902 eV per atom
* space-group type: No. 122
* DOS at the Fermi energy: 2.205 states/eV/f.u.
* size of the total moment: 0.00 μB/cell

```
8
Lattice="-3.559 3.559 3.865 3.559 -3.559 3.865 3.559 3.559 -3.865" Properties=species:S:1:pos:R:3 pbc="T T T"
Sc 0.000 0.000 0.000
Sc 0.000 3.559 1.932
Bi 1.780 -1.267 2.899
Bi 2.292 1.780 0.966
Bi 1.780 4.826 -0.966
Bi 1.267 1.780 4.831
B 3.559 0.000 1.932
B 0.000 0.000 3.865
```

Record 8
Crystalline Sc2BiB at its relaxed geometry, computed with PBE.

Calculated values
* ΔH_f (0 K): 0.7633 eV per atom
* space-group type: No. 166
* DOS at the Fermi energy: 5.468 states/eV/f.u.
* size of the total moment: 0.00 μB/cell

```
4
Lattice="2.168 1.252 7.785 -2.168 1.252 7.785 0.000 -2.504 7.785" Properties=species:S:1:pos:R:3 pbc="T T T"
Sc 0.000 0.000 2.284
Sc 0.000 0.000 21.071
Bi 0.000 0.000 11.677
B 0.000 0.000 0.000
```

Question: Which of these has the highest DOS at the Fermi energy?
Answer: Sc5Bi2B